# 1
A geometry-optimized ReAs2O structure, computed with PBE.

Structure (CIF):
```
data_ReAs2O
_cell_length_a 3.7785
_cell_length_b 3.7785
_cell_length_c 9.2845
_cell_angle_alpha 90.00
_cell_angle_beta 90.00
_cell_angle_gamma 90.00
_space_group_name_H-M_alt 'P 4/n m m'
_space_group_IT_number 129
loop_
_space_group_symop_operation_xyz
'x,y,z'
'-x,-y,-z'
'-y+1/2,x,z'
'y+1/2,-x,-z'
'-x+1/2,-y+1/2,z'
'x+1/2,y+1/2,-z'
'y,-x+1/2,z'
'-y,x+1/2,-z'
'x+1/2,-y,-z'
'-x+1/2,y,z'
'-y,-x,-z'
'y,x,z'
'-x,y+1/2,-z'
'x,-y+1/2,z'
'y+1/2,x+1/2,-z'
'-y+1/2,-x+1/2,z'
loop_
_atom_site_label
_atom_site_fract_x
_atom_site_fract_y
_atom_site_fract_z
Re1 0.2500 0.7500 0.0000
As1 0.2500 0.2500 0.1866
As2 0.2500 0.2500 0.6041
O1 0.2500 0.7500 0.5000
```

Properties
Its energy is -6.655 eV per atom. The calculation puts the total magnetization at 0.013 μB/f.u.


# 2
A geometry-optimized ReAs2O structure, computed with PBE.

Structure (CIF):
```
data_ReAs2O
_cell_length_a 3.3848
_cell_length_b 3.3848
_cell_length_c 11.0369
_cell_angle_alpha 90.00
_cell_angle_beta 90.00
_cell_angle_gamma 90.00
_space_group_name_H-M_alt 'P 4/n m m'
_space_group_IT_number 129
loop_
_space_group_symop_operation_xyz
'x,y,z'
'-x,-y,-z'
'-y+1/2,x,z'
'y+1/2,-x,-z'
'-x+1/2,-y+1/2,z'
'x+1/2,y+1/2,-z'
'y,-x+1/2,z'
'-y,x+1/2,-z'
'x+1/2,-y,-z'
'-x+1/2,y,z'
'-y,-x,-z'
'y,x,z'
'-x,y+1/2,-z'
'x,-y+1/2,z'
'y+1/2,x+1/2,-z'
'-y+1/2,-x+1/2,z'
loop_
_atom_site_label
_atom_site_fract_x
_atom_site_fract_y
_atom_site_fract_z
Re1 0.2500 0.2500 0.1171
As1 0.2500 0.2500 0.7617
As2 0.2500 0.7500 0.5000
O1 0.2500 0.7500 0.0000
```

Properties
Its energy is -6.513 eV per atom. The calculation puts the total magnetization at 0.009 μB/f.u.


# 3
A geometry-optimized ReSbAsO structure, computed with PBE.

Structure (CIF):
```
data_ReSbAsO
_cell_length_a 3.7849
_cell_length_b 7.1245
_cell_length_c 5.8042
_cell_angle_alpha 90.00
_cell_angle_beta 90.00
_cell_angle_gamma 90.00
_space_group_name_H-M_alt 'P m c 21'
_space_group_IT_number 26
loop_
_space_group_symop_operation_xyz
'x,y,z'
'-x,-y,z+1/2'
'-x,y,z'
'x,-y,z+1/2'
loop_
_atom_site_label
_atom_site_fract_x
_atom_site_fract_y
_atom_site_fract_z
Re1 0.0000 0.0741 0.0000
Sb1 0.5000 0.4716 0.9168
As1 0.0000 0.2555 0.3754
O1 0.5000 0.0760 0.9935
```

Properties
Its energy is -6.701 eV per atom. The value obtained for the relative energy among the computed polymorphs is 46 meV/atom. The calculation puts the total magnetization at 0.000 μB/f.u.


# 4
A geometry-optimized ReSbAsO structure, computed with PBE.

Structure (CIF):
```
data_ReSbAsO
_cell_length_a 3.7963
_cell_length_b 3.7963
_cell_length_c 9.6922
_cell_angle_alpha 90.00
_cell_angle_beta 90.00
_cell_angle_gamma 90.00
_space_group_name_H-M_alt 'P 4/n m m'
_space_group_IT_number 129
loop_
_space_group_symop_operation_xyz
'x,y,z'
'-x,-y,-z'
'-y+1/2,x,z'
'y+1/2,-x,-z'
'-x+1/2,-y+1/2,z'
'x+1/2,y+1/2,-z'
'y,-x+1/2,z'
'-y,x+1/2,-z'
'x+1/2,-y,-z'
'-x+1/2,y,z'
'-y,-x,-z'
'y,x,z'
'-x,y+1/2,-z'
'x,-y+1/2,z'
'y+1/2,x+1/2,-z'
'-y+1/2,-x+1/2,z'
loop_
_atom_site_label
_atom_site_fract_x
_atom_site_fract_y
_atom_site_fract_z
Re1 0.2500 0.7500 0.0000
Sb1 0.2500 0.2500 0.3701
As1 0.2500 0.2500 0.8238
O1 0.2500 0.7500 0.5000
```

Properties
Its energy is -6.747 eV per atom. The value obtained for the relative energy among the computed polymorphs is 0 meV/atom. The calculation puts the total magnetization at 0.001 μB/f.u.